# 1
AlFe3Ag after structural relaxation, computed with GGA-PBE.

Summary:
As for the space group: Pm-3m, No. 221. Its energy above the lowest structure with this stoichiometry is 431 meV/atom. The calculation puts the energy relative to the elements at 1.5015 eV/atom.

Cell: 4.6788 4.6788 4.6788 Å, 90.00 90.00 90.00°
Positions (direct):
Al  0.0000  0.0000  0.0000
Fe  0.0000  0.5000  0.5000
Fe  0.5000  0.0000  0.5000
Fe  0.5000  0.5000  0.0000
Ag  0.5000  0.5000  0.5000


# 2
AlFe2Ag after structural relaxation, computed with GGA-PBE.

Summary:
As for the space group: Cm, No. 8. The calculation puts the energy relative to the elements at 0.0926 eV/atom.

Cell: 4.7983 4.7983 4.4375 Å, 111.24 111.24 36.31°
Positions (direct):
Al  0.0000  0.0000  0.0000
Fe  0.4709  0.4709  0.4626
Fe  0.7510  0.7510  0.2741
Ag  0.2387  0.2387  0.7615


# 3
AlFe3Ag after structural relaxation, computed with GGA-PBE.

Summary:
As for the space group: Pm-3m, No. 221. Its energy above the lowest structure with this stoichiometry is 0 meV/atom. The calculation puts the energy relative to the elements at 1.0701 eV/atom.

Cell: 4.3801 4.3801 4.3801 Å, 90.00 90.00 90.00°
Positions (direct):
Al  0.0000  0.0000  0.0000
Fe  0.0000  0.0000  0.5000
Fe  0.0000  0.5000  0.0000
Fe  0.5000  0.0000  0.0000
Ag  0.5000  0.5000  0.5000


# 4
Al2FeAg after structural relaxation, computed with GGA-PBE.

Summary:
As for the space group: Imm2, No. 44. Its energy above the lowest structure with this stoichiometry is 190 meV/atom. The calculation puts the energy relative to the elements at -0.0496 eV/atom.

Cell: 5.1980 5.1980 5.1980 Å, 145.61 133.36 59.22°
Positions (direct):
Al  0.0000  0.0000  0.0000
Al  0.7251  0.2251  0.5000
Fe  0.2095  0.7095  0.5000
Ag  0.4622  0.4622  0.0000


# 5
Al2FeAg after structural relaxation, computed with GGA-PBE.

Summary:
As for the space group: R-3m, No. 166. Its energy above the lowest structure with this stoichiometry is 173 meV/atom. The calculation puts the energy relative to the elements at -0.0668 eV/atom.

Cell: 8.6690 8.6690 8.6690 Å, 18.81 18.81 18.81°
Positions (direct):
Al  0.2410  0.2410  0.2410
Al  0.7590  0.7590  0.7590
Fe  0.5000  0.5000  0.5000
Ag  0.0000  0.0000  0.0000


# 6
AlFeAg after structural relaxation, computed with GGA-PBE.

Summary:
As for the space group: I4mm, No. 107. Its energy above the lowest structure with this stoichiometry is 0 meV/atom. The calculation puts the energy relative to the elements at 0.0356 eV/atom.

Cell: 6.1182 6.1182 6.1182 Å, 153.89 153.89 37.26°
Positions (direct):
Al  0.0000  0.0000  0.0000
Fe  0.3561  0.3561  0.0000
Ag  0.6806  0.6806  0.0000


# 7
AlFeAg3 after structural relaxation, computed with GGA-PBE.

Summary:
As for the space group: Pm-3m, No. 221. Its energy above the lowest structure with this stoichiometry is 0 meV/atom. The calculation puts the energy relative to the elements at 0.9309 eV/atom.

Cell: 4.7589 4.7589 4.7589 Å, 90.00 90.00 90.00°
Positions (direct):
Al  0.0000  0.0000  0.0000
Fe  0.5000  0.5000  0.5000
Ag  0.0000  0.0000  0.5000
Ag  0.0000  0.5000  0.0000
Ag  0.5000  0.0000  0.0000


# 8
Al2FeAg after structural relaxation, computed with GGA-PBE.

Summary:
As for the space group: I-42d, No. 122. Its energy above the lowest structure with this stoichiometry is 593 meV/atom. The calculation puts the energy relative to the elements at 0.3533 eV/atom.

Cell: 5.5679 5.5679 5.5679 Å, 104.12 104.12 120.80°
Positions (direct):
Al  0.1056  0.6250  0.9806
Al  0.3750  0.3556  0.4806
Al  0.6444  0.1250  0.0194
Al  0.8750  0.8944  0.5194
Fe  0.0000  0.0000  0.0000
Fe  0.7500  0.2500  0.5000
Ag  0.2500  0.7500  0.5000
Ag  0.5000  0.5000  0.0000